LaSc4Mn3O12: optimized geometry, PBE+U.

Lattice parameters (Å, degrees): 7.7885 7.7885 7.7885 90.00 90.00 90.00
Closest atoms and distances in Å follow each position.
Space group Im-3 (No. 204)
Unique sites:
La 0.0000 0.0000 0.0000 x2  12 O 2.75
Sc 0.2500 0.2500 0.2500 x8  6 O 2.11
Mn 0.0000 0.0000 0.5000 x6  4 O 1.96
O 0.0000 0.3116 0.1661 x24  1 Mn 1.96, 2 Sc 2.11

As for the total energy: -335.087 eV/cell. The value obtained for the size of the total moment is 23.96 μB per cell. For the density of states at the Fermi level, the calculation gives 0.00 states/eV/cell. As for the volume: 11.811 Å³ per atom.